Record 1
Entry from the Alexandria database: a relaxed structure of ZnCoAu2 (GGA-PBE).

Values from the calculation:
uncorrected energy: -14.7 eV per cell
formation energy from the elements: 0.054 eV per atom
total magnetization: 0.375 μB/atom

```
data_ZnCoAu2
_symmetry_space_group_name_H-M 'P m m 2'
_symmetry_Int_Tables_number 25
_symmetry_space_group_name_Hall 'P 2 -2'
_cell_length_a 2.831
_cell_length_b 3.650
_cell_length_c 5.976
_cell_angle_alpha 90.00
_cell_angle_beta 90.00
_cell_angle_gamma 90.00
loop_
_atom_site_label
_atom_site_fract_x
_atom_site_fract_y
_atom_site_fract_z
_atom_site_occupancy
Zn1 0.000 0.000 0.000 1
Co1 0.500 0.500 0.786 1
Au1 0.000 0.000 0.551 1
Au2 0.500 0.500 0.247 1
```

***

Record 2
Entry from the Alexandria database: a relaxed structure of Zn2CoAu (GGA-PBE).

Values from the calculation:
uncorrected energy: -39.5 eV per cell
formation energy from the elements: 0.765 eV per atom
total magnetization: 0.382 μB/atom

```
data_Zn2CoAu
_symmetry_space_group_name_H-M 'I -4 2 d'
_symmetry_Int_Tables_number 122
_symmetry_space_group_name_Hall 'I -4 2bw'
_cell_length_a 5.682
_cell_length_b 5.682
_cell_length_c 11.258
_cell_angle_alpha 90.00
_cell_angle_beta 90.00
_cell_angle_gamma 90.00
loop_
_atom_site_label
_atom_site_fract_x
_atom_site_fract_y
_atom_site_fract_z
_atom_site_occupancy
Zn1 0.226 0.250 0.125 1
Co1 0.000 0.000 0.000 1
Au1 0.000 0.000 0.500 1
```

***

Record 3
Entry from the Alexandria database: a relaxed structure of Zn2CoAu2 (GGA-PBE).

Values from the calculation:
uncorrected energy: -31.1 eV per cell
formation energy from the elements: 0.128 eV per atom
total magnetization: 0.305 μB/atom

```
data_Zn2CoAu2
_symmetry_space_group_name_H-M 'P 4/m b m'
_symmetry_Int_Tables_number 127
_symmetry_space_group_name_Hall '-P 4 2ab'
_cell_length_a 6.635
_cell_length_b 6.635
_cell_length_c 3.585
_cell_angle_alpha 90.00
_cell_angle_beta 90.00
_cell_angle_gamma 90.00
loop_
_atom_site_label
_atom_site_fract_x
_atom_site_fract_y
_atom_site_fract_z
_atom_site_occupancy
Zn1 0.136 0.364 0.000 1
Co1 0.000 0.000 0.000 1
Au1 0.169 0.669 0.500 1
```

***

Record 4
Entry from the Alexandria database: a relaxed structure of Zn2CoAu (GGA-PBE).

Values from the calculation:
uncorrected energy: -37.5 eV per cell
formation energy from the elements: 0.110 eV per atom
total magnetization: 0.353 μB/atom

```
data_Zn2CoAu
_symmetry_space_group_name_H-M 'R 3 m'
_symmetry_Int_Tables_number 160
_symmetry_space_group_name_Hall 'R 3 -2"'
_cell_length_a 2.7688
_cell_length_b 2.7688
_cell_length_c 26.9278
_cell_angle_alpha 90.00
_cell_angle_beta 90.00
_cell_angle_gamma 120.00
loop_
_atom_site_label
_atom_site_fract_x
_atom_site_fract_y
_atom_site_fract_z
_atom_site_occupancy
Zn1 0.0000 0.0000 0.0000 1
Zn2 0.0000 0.0000 0.2439 1
Co1 0.0000 0.0000 0.5045 1
Au1 0.0000 0.0000 0.7544 1
```

***

Record 5
Entry from the Alexandria database: a relaxed structure of ZnCo3Au (GGA-PBE).

Values from the calculation:
uncorrected energy: -20.2 eV per cell
formation energy from the elements: 1.131 eV per atom
total magnetization: 0.951 μB/atom

```
data_ZnCo3Au
_symmetry_space_group_name_H-M 'P m -3 m'
_symmetry_Int_Tables_number 221
_symmetry_space_group_name_Hall '-P 4 2 3'
_cell_length_a 4.326
_cell_length_b 4.326
_cell_length_c 4.326
_cell_angle_alpha 90.00
_cell_angle_beta 90.00
_cell_angle_gamma 90.00
loop_
_atom_site_label
_atom_site_fract_x
_atom_site_fract_y
_atom_site_fract_z
_atom_site_occupancy
Zn1 0.000 0.000 0.000 1
Co1 0.000 0.000 0.500 1
Au1 0.500 0.500 0.500 1
```

***

Record 6
Entry from the Alexandria database: a relaxed structure of ZnCo4Au2 (GGA-PBE).

Values from the calculation:
uncorrected energy: -58.4 eV per cell
formation energy from the elements: 1.004 eV per atom
total magnetization: 0.965 μB/atom

```
data_ZnCo4Au2
_symmetry_space_group_name_H-M 'I 4/m m m'
_symmetry_Int_Tables_number 139
_symmetry_space_group_name_Hall '-I 4 2'
_cell_length_a 4.328
_cell_length_b 4.328
_cell_length_c 12.639
_cell_angle_alpha 90.00
_cell_angle_beta 90.00
_cell_angle_gamma 90.00
loop_
_atom_site_label
_atom_site_fract_x
_atom_site_fract_y
_atom_site_fract_z
_atom_site_occupancy
Zn1 0.000 0.000 0.000 1
Co1 0.000 0.000 0.182 1
Co2 0.000 0.500 0.000 1
Au1 0.000 0.000 0.378 1
```

***

What did the sixth record say?
Entry from the Alexandria database: a relaxed structure of ZnCo4Au2 (GGA-PBE).

Values from the calculation:
uncorrected energy: -58.4 eV per cell
formation energy from the elements: 1.004 eV per atom
total magnetization: 0.965 μB/atom

```
data_ZnCo4Au2
_symmetry_space_group_name_H-M 'I 4/m m m'
_symmetry_Int_Tables_number 139
_symmetry_space_group_name_Hall '-I 4 2'
_cell_length_a 4.328
_cell_length_b 4.328
_cell_length_c 12.639
_cell_angle_alpha 90.00
_cell_angle_beta 90.00
_cell_angle_gamma 90.00
loop_
_atom_site_label
_atom_site_fract_x
_atom_site_fract_y
_atom_site_fract_z
_atom_site_occupancy
Zn1 0.000 0.000 0.000 1
Co1 0.000 0.000 0.182 1
Co2 0.000 0.500 0.000 1
Au1 0.000 0.000 0.378 1
```

***

Question: Look up the formation energy from the elements of the sixth one.
Answer: 1.004 eV per atom

***

Question: What is the total magnetization in the second record?
Answer: 0.382 μB/atom